1.
A plane-wave DFT calculation with PBE was carried out for a relaxed SiBr4 crystal.

Raw total energy: -2.373 eV per atom
Energy relative to the lowest polymorph listed for this composition: 851 meV per atom
N(E_F): 5.66 states/eV/cell
ΔE_f (raw): 0.050 eV/atom

CIF file:
```
data_SiBr4
_cell_length_a 5.1558
_cell_length_b 5.1558
_cell_length_c 5.1558
_cell_angle_alpha 90.00
_cell_angle_beta 90.00
_cell_angle_gamma 90.00
_space_group_name_H-M_alt 'P m -3 m'
_space_group_IT_number 221
_space_group_name_Hall '-P 4 2 3'
loop_
_atom_site_label
_atom_site_type_symbol
_atom_site_fract_x
_atom_site_fract_y
_atom_site_fract_z
Si1 Si 0.0000 0.0000 0.0000
Br1 Br 0.0000 0.0000 0.5000
Br2 Br 0.5000 0.5000 0.5000
```


2.
A plane-wave DFT calculation with PBE was carried out for a relaxed Sm4SiBr5 crystal.

Raw total energy: -4.770 eV per atom
N(E_F): 6.79 states/eV/cell
ΔE_f (raw): -1.504 eV/atom

CIF file:
```
data_Sm4SiBr5
_cell_length_a 18.5567
_cell_length_b 4.1342
_cell_length_c 8.5813
_cell_angle_alpha 90.00
_cell_angle_beta 103.15
_cell_angle_gamma 90.00
_space_group_name_H-M_alt 'C 1 2/m 1'
_space_group_IT_number 12
loop_
_space_group_symop_operation_xyz
'x,y,z'
'-x,-y,-z'
'-x,y,-z'
'x,-y,z'
'x+1/2,y+1/2,z'
'-x+1/2,-y+1/2,-z'
'-x+1/2,y+1/2,-z'
'x+1/2,-y+1/2,z'
loop_
_atom_site_label
_atom_site_type_symbol
_atom_site_fract_x
_atom_site_fract_y
_atom_site_fract_z
Sm1 Sm 0.0003 0.0000 0.2236
Sm2 Sm 0.1514 0.5000 0.0805
Si1 Si 0.0000 0.5000 0.0000
Br1 Br 0.0000 0.5000 0.5000
Br2 Br 0.1665 0.0000 0.3307
Br3 Br 0.1712 0.0000 0.8392
```


3.
A plane-wave DFT calculation with PBE was carried out for a relaxed Sm2Si2Br crystal.

Raw total energy: -5.379 eV per atom
N(E_F): 4.87 states/eV/cell
ΔE_f (raw): -0.987 eV/atom

CIF file:
```
data_Sm2Si2Br
_cell_length_a 7.9380
_cell_length_b 16.6699
_cell_length_c 3.8978
_cell_angle_alpha 90.00
_cell_angle_beta 90.00
_cell_angle_gamma 90.00
_space_group_name_H-M_alt 'I m m a'
_space_group_IT_number 74
_space_group_name_Hall '-I 2b 2'
loop_
_atom_site_label
_atom_site_type_symbol
_atom_site_fract_x
_atom_site_fract_y
_atom_site_fract_z
Sm1 Sm 0.2500 0.1020 0.2500
Si1 Si 0.0000 0.0425 0.7500
Br1 Br 0.0000 0.2500 0.2465
```


4.
A plane-wave DFT calculation with PBE was carried out for a relaxed Sm2SiBr crystal.

Raw total energy: -5.198 eV per atom
Energy relative to the lowest polymorph listed for this composition: 0 meV per atom
N(E_F): 4.73 states/eV/cell
ΔE_f (raw): -1.065 eV/atom

CIF file:
```
data_Sm2SiBr
_cell_length_a 4.2236
_cell_length_b 4.2236
_cell_length_c 21.7191
_cell_angle_alpha 90.00
_cell_angle_beta 90.00
_cell_angle_gamma 120.00
_space_group_name_H-M_alt 'R -3 m'
_space_group_IT_number 166
_space_group_name_Hall '-R 3 2"'
loop_
_atom_site_label
_atom_site_type_symbol
_atom_site_fract_x
_atom_site_fract_y
_atom_site_fract_z
Sm1 Sm 0.0000 0.0000 0.2363
Si1 Si 0.0000 0.0000 0.5000
Br1 Br 0.0000 0.0000 0.0000
```


5.
A plane-wave DFT calculation with PBE was carried out for a relaxed Sm7SiBr12 crystal.

Raw total energy: -4.573 eV per atom
N(E_F): 30.68 states/eV/cell
ΔE_f (raw): -1.646 eV/atom

CIF file:
```
data_Sm7SiBr12
_cell_length_a 15.0851
_cell_length_b 15.0851
_cell_length_c 10.1298
_cell_angle_alpha 90.00
_cell_angle_beta 90.00
_cell_angle_gamma 120.00
_space_group_name_H-M_alt 'R -3'
_space_group_IT_number 148
_space_group_name_Hall '-R 3'
loop_
_atom_site_label
_atom_site_type_symbol
_atom_site_fract_x
_atom_site_fract_y
_atom_site_fract_z
Sm1 Sm 0.0000 0.0000 0.0000
Sm2 Sm 0.0466 0.8782 0.3459
Si1 Si 0.0000 0.0000 0.5000
Br1 Br 0.0236 0.4366 0.1649
Br2 Br 0.0494 0.8702 0.8391
```


6.
A plane-wave DFT calculation with PBE was carried out for a relaxed Sm3SiBr3 crystal.

Raw total energy: -4.827 eV per atom
Energy relative to the lowest polymorph listed for this composition: 105 meV per atom
N(E_F): 1.68 states/eV/cell
ΔE_f (raw): -1.312 eV/atom

CIF file:
```
data_Sm3SiBr3
_cell_length_a 5.8996
_cell_length_b 5.8996
_cell_length_c 5.8996
_cell_angle_alpha 90.00
_cell_angle_beta 90.00
_cell_angle_gamma 90.00
_space_group_name_H-M_alt 'P m -3 m'
_space_group_IT_number 221
_space_group_name_Hall '-P 4 2 3'
loop_
_atom_site_label
_atom_site_type_symbol
_atom_site_fract_x
_atom_site_fract_y
_atom_site_fract_z
Sm1 Sm 0.0000 0.0000 0.5000
Si1 Si 0.0000 0.0000 0.0000
Br1 Br 0.0000 0.5000 0.5000
```


7.
A plane-wave DFT calculation with PBE was carried out for a relaxed Sm2SiBr crystal.

Raw total energy: -5.160 eV per atom
Energy relative to the lowest polymorph listed for this composition: 39 meV per atom
N(E_F): 7.76 states/eV/cell
ΔE_f (raw): -1.026 eV/atom

CIF file:
```
data_Sm2SiBr
_cell_length_a 4.1671
_cell_length_b 4.1671
_cell_length_c 22.6198
_cell_angle_alpha 90.00
_cell_angle_beta 90.00
_cell_angle_gamma 120.00
_space_group_name_H-M_alt 'R 3 m'
_space_group_IT_number 160
_space_group_name_Hall 'R 3 -2"'
loop_
_atom_site_label
_atom_site_type_symbol
_atom_site_fract_x
_atom_site_fract_y
_atom_site_fract_z
Sm1 Sm 0.0000 0.0000 0.0000
Sm2 Sm 0.0000 0.0000 0.1970
Si1 Si 0.0000 0.0000 0.5977
Br1 Br 0.0000 0.0000 0.7680
```


8.
A plane-wave DFT calculation with PBE was carried out for a relaxed Sm6SiBr8 crystal.

Raw total energy: -4.603 eV per atom
N(E_F): 12.22 states/eV/cell
ΔE_f (raw): -1.462 eV/atom

CIF file:
```
data_Sm6SiBr8
_cell_length_a 7.3320
_cell_length_b 7.3320
_cell_length_c 31.6585
_cell_angle_alpha 90.00
_cell_angle_beta 90.00
_cell_angle_gamma 120.00
_space_group_name_H-M_alt 'R -3'
_space_group_IT_number 148
_space_group_name_Hall '-R 3'
loop_
_atom_site_label
_atom_site_type_symbol
_atom_site_fract_x
_atom_site_fract_y
_atom_site_fract_z
Sm1 Sm 0.0000 0.2991 0.4481
Si1 Si 0.0000 0.0000 0.5000
Br1 Br 0.0000 0.0000 0.1667
Br2 Br 0.0000 0.3434 0.6069
```


- The lowest raw total energy belongs to which entry?
  Sm2Si2Br


- The lowest ΔE_f (raw) belongs to which entry?
  Sm7SiBr12


- Which formula does entry 8 have?
  Sm6SiBr8


- Look up the N(E_F) of the fifth one.
  30.68 states/eV/cell